{
  "formula": "RbPb2C",
  "functional": "PBE",
  "state": "optimized geometry",
  "lattice_angstrom": [[7.346, 0.000, 0.000], [0.000, 7.346, 0.000], [3.673, 3.673, 5.278]],
  "species": ["Pb", "Pb", "Pb", "Pb", "C", "C", "Rb", "Rb"],
  "frac_coords": [[0.482, 0.125, 0.250], [0.268, 0.625, 0.250], [0.375, 0.518, 0.750], [0.875, 0.732, 0.750], [0.500, 0.500, 0.000], [0.250, 0.750, 0.500], [0.000, 0.000, 0.000], [0.750, 0.250, 0.500]],
  "formation_enthalpy_0k_ev_per_atom": 0.934,
  "space_group": "I-42d",
  "total_magnetization_mub_per_fu": 0.000,
  "vol_a3_per_cell": 284.9
}

=====

{
  "formula": "RbRuPb2C",
  "functional": "PBE",
  "state": "optimized geometry",
  "lattice_angstrom": [[5.196, 0.000, 0.000], [0.000, 6.473, 0.000], [0.000, 0.000, 5.196]],
  "species": ["Pb", "Pb", "Ru", "C", "Rb"],
  "frac_coords": [[0.000, 0.000, 0.500], [0.500, 0.000, 0.000], [0.000, 0.000, 0.000], [0.500, 0.500, 0.500], [0.000, 0.500, 0.000]],
  "formation_enthalpy_0k_ev_per_atom": 1.506,
  "space_group": "P4/mmm",
  "total_magnetization_mub_per_fu": 2.926,
  "vol_a3_per_cell": 174.8
}

=====

{
  "formula": "RbSi2PbC",
  "functional": "PBE",
  "state": "optimized geometry",
  "lattice_angstrom": [[-1.751, -4.818, 1.215], [-1.044, -1.482, -7.380], [4.916, -1.867, -0.321]],
  "species": ["Pb", "Si", "Si", "C", "Rb"],
  "frac_coords": [[0.000, 0.000, 0.000], [0.000, 0.000, 0.500], [0.500, 0.000, 0.000], [0.500, 0.500, 0.500], [0.000, 0.500, 0.000]],
  "space_group": "P4/mmm",
  "energy_ev_per_atom": -2.8538,
  "total_magnetization_mub_per_fu": 1.936,
  "vol_a3_per_cell": 211.0
}

=====

{
  "formula": "Rb2TaPbC",
  "functional": "PBE",
  "state": "optimized geometry",
  "lattice_angstrom": [[-0.907, -6.899, 1.725], [-0.293, -1.701, -6.958], [5.386, -0.721, -0.051]],
  "species": ["Pb", "C", "Rb", "Rb", "Ta"],
  "frac_coords": [[0.000, 0.000, 0.000], [0.500, 0.500, 0.500], [0.000, 0.500, 0.000], [0.500, 0.000, 0.000], [0.000, 0.000, 0.500]],
  "formation_enthalpy_0k_ev_per_atom": 2.148,
  "space_group": "P4/mmm",
  "total_magnetization_mub_per_fu": 5.324,
  "vol_a3_per_cell": 279.3
}

=====

{
  "formula": "Rb2TcPbC",
  "functional": "PBE",
  "state": "optimized geometry",
  "lattice_angstrom": [[6.438, 0.000, 0.000], [0.000, 3.902, 0.000], [0.000, 0.000, 6.438]],
  "species": ["Pb", "C", "Tc", "Rb", "Rb"],
  "frac_coords": [[0.500, 0.500, 0.500], [0.000, 0.000, 0.000], [0.000, 0.500, 0.000], [0.000, 0.000, 0.500], [0.500, 0.000, 0.000]],
  "formation_enthalpy_0k_ev_per_atom": 0.926,
  "space_group": "P4/mmm",
  "total_magnetization_mub_per_fu": 1.204,
  "vol_a3_per_cell": 161.7
}

=====

{
  "formula": "RbZr2PbC",
  "functional": "PBE",
  "state": "optimized geometry",
  "lattice_angstrom": [[4.678, 0.000, 0.000], [0.000, 5.535, 0.000], [0.000, 0.000, 4.678]],
  "species": ["Pb", "C", "Rb", "Zr", "Zr"],
  "frac_coords": [[0.500, 0.500, 0.500], [0.000, 0.000, 0.000], [0.000, 0.500, 0.000], [0.000, 0.000, 0.500], [0.500, 0.000, 0.000]],
  "formation_enthalpy_0k_ev_per_atom": 0.441,
  "space_group": "P4/mmm",
  "total_magnetization_mub_per_fu": 0.000,
  "vol_a3_per_cell": 121.1
}

=====

{
  "formula": "Re3PbC",
  "functional": "PBE",
  "state": "optimized geometry",
  "lattice_angstrom": [[-1.052, 4.077, -0.060], [-2.664, -0.640, 3.198], [3.087, 0.837, 2.739]],
  "species": ["Pb", "Re", "Re", "Re", "C"],
  "frac_coords": [[0.500, 0.500, 0.500], [0.000, 0.500, 0.000], [0.000, 0.000, 0.500], [0.500, 0.000, 0.000], [0.000, 0.000, 0.000]],
  "formation_enthalpy_0k_ev_per_atom": 0.808,
  "space_group": "Pm-3m",
  "total_magnetization_mub_per_fu": 1.097,
  "e_above_lowest_polymorph_kj_per_mol_fu": 0,
  "vol_a3_per_cell": 74.7
}

=====

{
  "formula": "Re2PbC",
  "functional": "PBE",
  "state": "optimized geometry",
  "lattice_angstrom": [[0.000, 3.115, 3.115], [3.115, 0.000, 3.115], [3.115, 3.115, 0.000]],
  "species": ["Pb", "Re", "Re", "C"],
  "frac_coords": [[0.500, 0.500, 0.500], [0.250, 0.250, 0.250], [0.750, 0.750, 0.750], [0.000, 0.000, 0.000]],
  "formation_enthalpy_0k_ev_per_atom": 2.130,
  "space_group": "Fm-3m",
  "total_magnetization_mub_per_fu": 0.000,
  "e_above_lowest_polymorph_kj_per_mol_fu": 374,
  "vol_a3_per_cell": 60.5
}

=====

{
  "formula": "Re3PbC",
  "functional": "PBE",
  "state": "optimized geometry",
  "lattice_angstrom": [[-2.003, 2.397, 3.856], [-3.510, -3.491, 0.346], [2.880, -2.588, 3.104]],
  "species": ["Pb", "Re", "Re", "Re", "C"],
  "frac_coords": [[0.000, 0.000, 0.000], [0.000, 0.500, 0.000], [0.000, 0.000, 0.500], [0.500, 0.000, 0.000], [0.500, 0.500, 0.500]],
  "formation_enthalpy_0k_ev_per_atom": 4.721,
  "space_group": "Pm-3m",
  "total_magnetization_mub_per_fu": 0.000,
  "e_above_lowest_polymorph_kj_per_mol_fu": 1888,
  "vol_a3_per_cell": 122.2
}

=====

{
  "formula": "Re2PbC",
  "functional": "PBE",
  "state": "optimized geometry",
  "lattice_angstrom": [[4.931, 0.000, 0.000], [0.000, 4.931, 0.000], [2.466, 2.466, 6.281]],
  "species": ["Pb", "Pb", "Re", "Re", "Re", "Re", "C", "C"],
  "frac_coords": [[0.000, 0.000, 0.000], [0.750, 0.250, 0.500], [0.455, 0.125, 0.250], [0.295, 0.625, 0.250], [0.375, 0.545, 0.750], [0.875, 0.705, 0.750], [0.500, 0.500, 0.000], [0.250, 0.750, 0.500]],
  "formation_enthalpy_0k_ev_per_atom": 1.161,
  "space_group": "I-42d",
  "total_magnetization_mub_per_fu": 0.000,
  "e_above_lowest_polymorph_kj_per_mol_fu": 0,
  "vol_a3_per_cell": 152.7
}

=====

{
  "formula": "VRePb2C",
  "functional": "PBE",
  "state": "optimized geometry",
  "lattice_angstrom": [[-5.110, -1.401, 1.192], [1.142, -1.174, 3.513], [-0.909, 4.983, 1.961]],
  "species": ["Pb", "Pb", "Re", "C", "V"],
  "frac_coords": [[0.000, 0.000, 0.500], [0.500, 0.000, 0.000], [0.000, 0.000, 0.000], [0.000, 0.500, 0.000], [0.500, 0.500, 0.500]],
  "formation_enthalpy_0k_ev_per_atom": 1.547,
  "space_group": "P4/mmm",
  "total_magnetization_mub_per_fu": 0.088,
  "vol_a3_per_cell": 114.3
}

=====

{
  "formula": "RhPb3C",
  "functional": "PBE",
  "state": "optimized geometry",
  "lattice_angstrom": [[4.856, 0.000, 0.000], [0.000, 4.856, 0.000], [0.000, 0.000, 4.856]],
  "species": ["Pb", "Pb", "Pb", "C", "Rh"],
  "frac_coords": [[0.000, 0.500, 0.000], [0.000, 0.000, 0.500], [0.500, 0.000, 0.000], [0.000, 0.000, 0.000], [0.500, 0.500, 0.500]],
  "formation_enthalpy_0k_ev_per_atom": 1.137,
  "space_group": "Pm-3m",
  "total_magnetization_mub_per_fu": 0.000,
  "e_above_lowest_polymorph_kj_per_mol_fu": 0,
  "vol_a3_per_cell": 114.5
}